#one
Computed, not measured: an optimized crystal structure of PaZnTc at the PBE level of DFT. Values from VASP.

SG: No. 12
Volume (A^3/atom): 19.148
Spin magnetization (μB/cell): 0.000

```
&SYSTEM
  ibrav = 0, nat = 6, ntyp = 3
/
ATOMIC_SPECIES
Pa 231.04 Pa.upf
Zn 65.41 Zn.upf
Tc 98.00 Tc.upf
CELL_PARAMETERS angstrom
4.777 -1.728 0.000
4.777 1.728 0.000
-3.837 0.000 6.957
ATOMIC_POSITIONS crystal
Pa 0.076 0.076 0.321
Pa 0.924 0.924 0.679
Zn 0.338 0.338 0.963
Zn 0.662 0.662 0.037
Tc 0.334 0.334 0.327
Tc 0.666 0.666 0.673
```

#two
Computed, not measured: an optimized crystal structure of PaZnTc at the PBE level of DFT. Values from VASP.

SG: No. 156
Volume (A^3/atom): 18.708
Spin magnetization (μB/cell): 0.000

```
&SYSTEM
  ibrav = 0, nat = 3, ntyp = 3
/
ATOMIC_SPECIES
Pa 231.04 Pa.upf
Zn 65.41 Zn.upf
Tc 98.00 Tc.upf
CELL_PARAMETERS angstrom
4.576 0.000 0.000
-2.288 3.963 0.000
0.000 0.000 3.095
ATOMIC_POSITIONS crystal
Pa 0.000 0.000 0.000
Zn 0.667 0.333 0.501
Tc 0.333 0.667 0.354
```

We find #one to be the most stable, with the next structure 303 meV/atom higher.

#one
Computed, not measured: an optimized crystal structure of ZrPaTc at the PBE level of DFT. Values from VASP.

SG: No. 156
Volume (A^3/atom): 19.987
Spin magnetization (μB/cell): 0.000

```
&SYSTEM
  ibrav = 0, nat = 3, ntyp = 3
/
ATOMIC_SPECIES
Zr 91.22 Zr.upf
Pa 231.04 Pa.upf
Tc 98.00 Tc.upf
CELL_PARAMETERS angstrom
4.696 0.000 0.000
-2.348 4.067 0.000
0.000 0.000 3.140
ATOMIC_POSITIONS crystal
Zr 0.000 0.000 0.000
Pa 0.667 0.333 0.346
Tc 0.333 0.667 0.625
```

#two
Computed, not measured: an optimized crystal structure of ZrPaTc at the PBE level of DFT. Values from VASP.

SG: No. 107
Volume (A^3/atom): 20.713
Spin magnetization (μB/cell): 0.000

```
&SYSTEM
  ibrav = 0, nat = 3, ntyp = 3
/
ATOMIC_SPECIES
Zr 91.22 Zr.upf
Pa 231.04 Pa.upf
Tc 98.00 Tc.upf
CELL_PARAMETERS angstrom
-1.729 1.729 5.196
1.729 -1.729 5.196
1.729 1.729 -5.196
ATOMIC_POSITIONS crystal
Zr 0.000 0.000 0.000
Pa 0.693 0.693 0.000
Tc 0.324 0.324 0.000
```

We find #two to be the most stable, with the next structure 69 meV/atom higher.

#one
Computed, not measured: an optimized crystal structure of Pa2Te5 at the PBE level of DFT. Values from VASP.

SG: No. 63
Volume (A^3/atom): 30.684
Spin magnetization (μB/cell): 4.107

```
&SYSTEM
  ibrav = 0, nat = 14, ntyp = 2
/
ATOMIC_SPECIES
Pa 231.04 Pa.upf
Te 127.60 Te.upf
CELL_PARAMETERS angstrom
2.239 -21.401 0.000
2.239 21.401 0.000
0.000 0.000 4.483
ATOMIC_POSITIONS crystal
Pa 0.099 0.901 0.750
Pa 0.304 0.696 0.750
Pa 0.696 0.304 0.250
Pa 0.901 0.099 0.250
Te 0.047 0.953 0.250
Te 0.175 0.825 0.750
Te 0.250 0.750 0.250
Te 0.378 0.622 0.750
Te 0.453 0.547 0.250
Te 0.547 0.453 0.750
Te 0.622 0.378 0.250
Te 0.750 0.250 0.750
Te 0.825 0.175 0.250
Te 0.953 0.047 0.750
```

#two
Computed, not measured: an optimized crystal structure of Pa2Te5 at the PBE level of DFT. Values from VASP.

SG: No. 15
Volume (A^3/atom): 31.295
Spin magnetization (μB/cell): 0.577

```
&SYSTEM
  ibrav = 0, nat = 14, ntyp = 2
/
ATOMIC_SPECIES
Pa 231.04 Pa.upf
Te 127.60 Te.upf
CELL_PARAMETERS angstrom
8.088 -3.454 0.000
8.088 3.454 0.000
-0.941 0.000 7.842
ATOMIC_POSITIONS crystal
Pa 0.098 0.683 0.909
Pa 0.317 0.902 0.591
Pa 0.683 0.098 0.409
Pa 0.902 0.317 0.091
Te 0.102 0.898 0.250
Te 0.130 0.311 0.813
Te 0.302 0.521 0.574
Te 0.311 0.130 0.313
Te 0.479 0.698 0.926
Te 0.521 0.302 0.074
Te 0.689 0.870 0.687
Te 0.698 0.479 0.426
Te 0.870 0.689 0.187
Te 0.898 0.102 0.750
```

We find #two to be the most stable, with the next structure 89 meV/atom higher.

#one
Computed, not measured: an optimized crystal structure of Pa3Te at the PBE level of DFT. Values from VASP.

SG: No. 139
Volume (A^3/atom): 24.292
Spin magnetization (μB/cell): 0.000

```
&SYSTEM
  ibrav = 0, nat = 4, ntyp = 2
/
ATOMIC_SPECIES
Pa 231.04 Pa.upf
Te 127.60 Te.upf
CELL_PARAMETERS angstrom
-2.293 2.293 4.620
2.293 -2.293 4.620
2.293 2.293 -4.620
ATOMIC_POSITIONS crystal
Pa 0.000 0.000 0.000
Pa 0.250 0.750 0.500
Pa 0.750 0.250 0.500
Te 0.500 0.500 0.000
```

#two
Computed, not measured: an optimized crystal structure of Pa3Te at the PBE level of DFT. Values from VASP.

SG: No. 25
Volume (A^3/atom): 25.008
Spin magnetization (μB/cell): 0.001

```
&SYSTEM
  ibrav = 0, nat = 4, ntyp = 2
/
ATOMIC_SPECIES
Pa 231.04 Pa.upf
Te 127.60 Te.upf
CELL_PARAMETERS angstrom
3.387 0.000 0.000
0.000 5.290 0.000
0.000 0.000 5.583
ATOMIC_POSITIONS crystal
Pa 0.000 0.000 0.000
Pa 0.000 0.500 0.374
Pa 0.500 0.000 0.503
Te 0.500 0.500 0.862
```

We find #one to be the most stable, with the next structure 45 meV/atom higher.

#one
Computed, not measured: an optimized crystal structure of Pa3Te at the PBE level of DFT. Values from VASP.

SG: No. 225
Volume (A^3/atom): 25.155
Spin magnetization (μB/cell): 0.000

```
&SYSTEM
  ibrav = 0, nat = 4, ntyp = 2
/
ATOMIC_SPECIES
Pa 231.04 Pa.upf
Te 127.60 Te.upf
CELL_PARAMETERS angstrom
0.000 3.692 3.692
3.692 0.000 3.692
3.692 3.692 0.000
ATOMIC_POSITIONS crystal
Pa 0.000 0.000 0.000
Pa 0.250 0.250 0.250
Pa 0.750 0.750 0.750
Te 0.500 0.500 0.500
```

#two
Computed, not measured: an optimized crystal structure of Pa3Te at the PBE level of DFT. Values from VASP.

SG: No. 221
Volume (A^3/atom): 23.999
Spin magnetization (μB/cell): 0.000

```
&SYSTEM
  ibrav = 0, nat = 4, ntyp = 2
/
ATOMIC_SPECIES
Pa 231.04 Pa.upf
Te 127.60 Te.upf
CELL_PARAMETERS angstrom
4.579 0.000 0.000
0.000 4.579 0.000
0.000 0.000 4.579
ATOMIC_POSITIONS crystal
Pa 0.000 0.000 0.500
Pa 0.000 0.500 0.000
Pa 0.500 0.000 0.000
Te 0.500 0.500 0.500
```

We find #two to be the most stable, with the next structure 399 meV/atom higher.

#one
Computed, not measured: an optimized crystal structure of ThPaTe at the PBE level of DFT. Values from VASP.

SG: No. 12
Volume (A^3/atom): 29.589
Spin magnetization (μB/cell): 0.000

```
&SYSTEM
  ibrav = 0, nat = 6, ntyp = 3
/
ATOMIC_SPECIES
Th 232.04 Th.upf
Pa 231.04 Pa.upf
Te 127.60 Te.upf
CELL_PARAMETERS angstrom
5.979 -1.923 0.000
5.979 1.923 0.000
-1.006 0.000 7.720
ATOMIC_POSITIONS crystal
Th 0.152 0.152 0.126
Th 0.848 0.848 0.874
Pa 0.187 0.187 0.552
Pa 0.813 0.813 0.448
Te 0.444 0.444 0.220
Te 0.556 0.556 0.780
```

#two
Computed, not measured: an optimized crystal structure of ThPaTe at the PBE level of DFT. Values from VASP.

SG: No. 107
Volume (A^3/atom): 29.272
Spin magnetization (μB/cell): 0.004

```
&SYSTEM
  ibrav = 0, nat = 3, ntyp = 3
/
ATOMIC_SPECIES
Th 232.04 Th.upf
Pa 231.04 Pa.upf
Te 127.60 Te.upf
CELL_PARAMETERS angstrom
-1.796 1.796 6.802
1.796 -1.796 6.802
1.796 1.796 -6.802
ATOMIC_POSITIONS crystal
Th 0.000 0.000 0.000
Pa 0.693 0.693 0.000
Te 0.336 0.336 0.000
```

#three
Computed, not measured: an optimized crystal structure of ThPaTe at the PBE level of DFT. Values from VASP.

SG: No. 156
Volume (A^3/atom): 29.079
Spin magnetization (μB/cell): 0.696

```
&SYSTEM
  ibrav = 0, nat = 3, ntyp = 3
/
ATOMIC_SPECIES
Th 232.04 Th.upf
Pa 231.04 Pa.upf
Te 127.60 Te.upf
CELL_PARAMETERS angstrom
5.323 0.000 0.000
-2.661 4.610 0.000
0.000 0.000 3.555
ATOMIC_POSITIONS crystal
Th 0.000 0.000 0.000
Pa 0.333 0.667 0.500
Te 0.667 0.333 0.502
```

We find #one to be the most stable, with the next structure 66 meV/atom higher.

#one
Computed, not measured: an optimized crystal structure of ThPaTe2 at the PBE level of DFT. Values from VASP.

SG: No. 225
Volume (A^3/atom): 27.363
Spin magnetization (μB/cell): 0.777

```
&SYSTEM
  ibrav = 0, nat = 4, ntyp = 3
/
ATOMIC_SPECIES
Th 232.04 Th.upf
Pa 231.04 Pa.upf
Te 127.60 Te.upf
CELL_PARAMETERS angstrom
0.000 3.797 3.797
3.797 0.000 3.797
3.797 3.797 0.000
ATOMIC_POSITIONS crystal
Th 0.000 0.000 0.000
Pa 0.500 0.500 0.500
Te 0.250 0.250 0.250
Te 0.750 0.750 0.750
```

#two
Computed, not measured: an optimized crystal structure of ThPaTe2 at the PBE level of DFT. Values from VASP.

SG: No. 123
Volume (A^3/atom): 27.411
Spin magnetization (μB/cell): 0.985

```
&SYSTEM
  ibrav = 0, nat = 4, ntyp = 3
/
ATOMIC_SPECIES
Th 232.04 Th.upf
Pa 231.04 Pa.upf
Te 127.60 Te.upf
CELL_PARAMETERS angstrom
3.797 0.000 0.000
0.000 3.797 0.000
0.000 0.000 7.605
ATOMIC_POSITIONS crystal
Th 0.000 0.000 0.000
Pa 0.000 0.000 0.500
Te 0.500 0.500 0.258
Te 0.500 0.500 0.742
```

#three
Computed, not measured: an optimized crystal structure of ThPaTe2 at the PBE level of DFT. Values from VASP.

SG: No. 166
Volume (A^3/atom): 34.021
Spin magnetization (μB/cell): 1.007

```
&SYSTEM
  ibrav = 0, nat = 4, ntyp = 3
/
ATOMIC_SPECIES
Th 232.04 Th.upf
Pa 231.04 Pa.upf
Te 127.60 Te.upf
CELL_PARAMETERS angstrom
1.935 1.117 10.489
-1.935 1.117 10.489
0.000 -2.235 10.489
ATOMIC_POSITIONS crystal
Th 0.000 0.000 0.000
Pa 0.500 0.500 0.500
Te 0.099 0.099 0.099
Te 0.901 0.901 0.901
```

We find #two to be the most stable, with the next structure 9 meV/atom higher.

#one
Computed, not measured: an optimized crystal structure of PaTl2Te4 at the PBE level of DFT. Values from VASP.

SG: No. 91
Volume (A^3/atom): 41.676
Spin magnetization (μB/cell): 0.000

```
&SYSTEM
  ibrav = 0, nat = 28, ntyp = 3
/
ATOMIC_SPECIES
Pa 231.04 Pa.upf
Tl 204.38 Tl.upf
Te 127.60 Te.upf
CELL_PARAMETERS angstrom
9.609 0.000 0.000
0.000 9.609 0.000
0.000 0.000 12.639
ATOMIC_POSITIONS crystal
Pa 0.000 0.250 0.000
Pa 0.000 0.750 0.500
Pa 0.250 0.000 0.750
Pa 0.750 0.000 0.250
Tl 0.247 0.247 0.375
Tl 0.247 0.753 0.125
Tl 0.258 0.500 0.750
Tl 0.500 0.258 0.000
Tl 0.500 0.742 0.500
Tl 0.742 0.500 0.250
Tl 0.753 0.247 0.625
Tl 0.753 0.753 0.875
Te 0.030 0.228 0.761
Te 0.030 0.772 0.739
Te 0.220 0.461 0.021
Te 0.220 0.539 0.479
Te 0.228 0.030 0.989
Te 0.228 0.970 0.511
Te 0.461 0.220 0.729
Te 0.461 0.780 0.771
Te 0.539 0.220 0.271
Te 0.539 0.780 0.229
Te 0.772 0.030 0.011
Te 0.772 0.970 0.489
Te 0.780 0.461 0.979
Te 0.780 0.539 0.521
Te 0.970 0.228 0.239
Te 0.970 0.772 0.261
```

#two
Computed, not measured: an optimized crystal structure of PaTl2Te4 at the PBE level of DFT. Values from VASP.

SG: No. 139
Volume (A^3/atom): 42.771
Spin magnetization (μB/cell): 0.000

```
&SYSTEM
  ibrav = 0, nat = 7, ntyp = 3
/
ATOMIC_SPECIES
Pa 231.04 Pa.upf
Tl 204.38 Tl.upf
Te 127.60 Te.upf
CELL_PARAMETERS angstrom
-2.982 2.982 8.417
2.982 -2.982 8.417
2.982 2.982 -8.417
ATOMIC_POSITIONS crystal
Pa 0.000 0.000 0.000
Tl 0.371 0.371 0.000
Tl 0.629 0.629 0.000
Te 0.000 0.500 0.500
Te 0.172 0.172 0.000
Te 0.500 0.000 0.500
Te 0.828 0.828 0.000
```

We find #one to be the most stable, with the next structure 54 meV/atom higher.

#one
Computed, not measured: an optimized crystal structure of PaTlTe3 at the PBE level of DFT. Values from VASP.

SG: No. 12
Volume (A^3/atom): 38.751
Spin magnetization (μB/cell): 0.000

```
&SYSTEM
  ibrav = 0, nat = 10, ntyp = 3
/
ATOMIC_SPECIES
Pa 231.04 Pa.upf
Tl 204.38 Tl.upf
Te 127.60 Te.upf
CELL_PARAMETERS angstrom
7.392 -2.243 0.000
7.392 2.243 0.000
-3.983 0.000 11.685
ATOMIC_POSITIONS crystal
Pa 0.234 0.234 0.155
Pa 0.766 0.766 0.845
Tl 0.091 0.091 0.394
Tl 0.909 0.909 0.606
Te 0.140 0.140 0.890
Te 0.334 0.334 0.397
Te 0.398 0.398 0.840
Te 0.602 0.602 0.160
Te 0.666 0.666 0.603
Te 0.860 0.860 0.110
```

#two
Computed, not measured: an optimized crystal structure of PaTlTe3 at the PBE level of DFT. Values from VASP.

SG: No. 15
Volume (A^3/atom): 41.789
Spin magnetization (μB/cell): 0.000

```
&SYSTEM
  ibrav = 0, nat = 20, ntyp = 3
/
ATOMIC_SPECIES
Pa 231.04 Pa.upf
Tl 204.38 Tl.upf
Te 127.60 Te.upf
CELL_PARAMETERS angstrom
8.194 -6.643 0.000
8.194 6.643 0.000
-1.179 0.000 7.677
ATOMIC_POSITIONS crystal
Pa 0.168 0.331 0.494
Pa 0.331 0.168 0.994
Pa 0.669 0.832 0.006
Pa 0.832 0.669 0.506
Tl 0.097 0.903 0.250
Tl 0.267 0.733 0.750
Tl 0.733 0.267 0.250
Tl 0.903 0.097 0.750
Te 0.068 0.212 0.141
Te 0.103 0.603 0.389
Te 0.212 0.068 0.641
Te 0.288 0.421 0.842
Te 0.397 0.897 0.111
Te 0.421 0.288 0.342
Te 0.579 0.712 0.658
Te 0.603 0.103 0.889
Te 0.712 0.579 0.158
Te 0.788 0.932 0.359
Te 0.897 0.397 0.611
Te 0.932 0.788 0.859
```

#three
Computed, not measured: an optimized crystal structure of PaTlTe3 at the PBE level of DFT. Values from VASP.

SG: No. 221
Volume (A^3/atom): 41.295
Spin magnetization (μB/cell): 0.180

```
&SYSTEM
  ibrav = 0, nat = 5, ntyp = 3
/
ATOMIC_SPECIES
Pa 231.04 Pa.upf
Tl 204.38 Tl.upf
Te 127.60 Te.upf
CELL_PARAMETERS angstrom
5.910 0.000 0.000
0.000 5.910 0.000
0.000 0.000 5.910
ATOMIC_POSITIONS crystal
Pa 0.000 0.000 0.000
Tl 0.500 0.500 0.500
Te 0.000 0.000 0.500
Te 0.000 0.500 0.000
Te 0.500 0.000 0.000
```

We find #two to be the most stable, with the next structure 52 meV/atom higher.

#one
Computed, not measured: an optimized crystal structure of Pa2TlTe at the PBE level of DFT. Values from VASP.

SG: No. 166
Volume (A^3/atom): 29.540
Spin magnetization (μB/cell): 0.002

```
&SYSTEM
  ibrav = 0, nat = 4, ntyp = 3
/
ATOMIC_SPECIES
Pa 231.04 Pa.upf
Tl 204.38 Tl.upf
Te 127.60 Te.upf
CELL_PARAMETERS angstrom
2.226 1.285 6.884
-2.226 1.285 6.884
0.000 -2.570 6.884
ATOMIC_POSITIONS crystal
Pa 0.249 0.249 0.249
Pa 0.751 0.751 0.751
Tl 0.000 0.000 0.000
Te 0.500 0.500 0.500
```

#two
Computed, not measured: an optimized crystal structure of Pa2TlTe at the PBE level of DFT. Values from VASP.

SG: No. 123
Volume (A^3/atom): 26.448
Spin magnetization (μB/cell): 2.004

```
&SYSTEM
  ibrav = 0, nat = 4, ntyp = 3
/
ATOMIC_SPECIES
Pa 231.04 Pa.upf
Tl 204.38 Tl.upf
Te 127.60 Te.upf
CELL_PARAMETERS angstrom
3.586 0.000 0.000
0.000 3.586 0.000
0.000 0.000 8.229
ATOMIC_POSITIONS crystal
Pa 0.000 0.000 0.235
Pa 0.000 0.000 0.765
Tl 0.500 0.500 0.500
Te 0.500 0.500 0.000
```

We find #two to be the most stable, with the next structure 124 meV/atom higher.

#one
Computed, not measured: an optimized crystal structure of PaTl2Te3 at the PBE level of DFT. Values from VASP.

SG: No. 65
Volume (A^3/atom): 40.370
Spin magnetization (μB/cell): 1.010

```
&SYSTEM
  ibrav = 0, nat = 6, ntyp = 3
/
ATOMIC_SPECIES
Pa 231.04 Pa.upf
Tl 204.38 Tl.upf
Te 127.60 Te.upf
CELL_PARAMETERS angstrom
3.267 -8.294 0.000
3.267 8.294 0.000
0.000 0.000 4.470
ATOMIC_POSITIONS crystal
Pa 0.000 0.000 0.000
Tl 0.350 0.650 0.500
Tl 0.650 0.350 0.500
Te 0.127 0.873 0.500
Te 0.500 0.500 0.000
Te 0.873 0.127 0.500
```

#two
Computed, not measured: an optimized crystal structure of PaTl2Te3 at the PBE level of DFT. Values from VASP.

SG: No. 12
Volume (A^3/atom): 36.969
Spin magnetization (μB/cell): 2.005

```
&SYSTEM
  ibrav = 0, nat = 12, ntyp = 3
/
ATOMIC_SPECIES
Pa 231.04 Pa.upf
Tl 204.38 Tl.upf
Te 127.60 Te.upf
CELL_PARAMETERS angstrom
3.996 -6.848 0.000
3.996 6.848 0.000
-2.589 0.000 8.107
ATOMIC_POSITIONS crystal
Pa 0.169 0.831 0.000
Pa 0.831 0.169 0.000
Tl 0.000 0.000 0.500
Tl 0.345 0.655 0.500
Tl 0.500 0.500 0.000
Tl 0.655 0.345 0.500
Te 0.059 0.424 0.776
Te 0.206 0.206 0.210
Te 0.424 0.059 0.776
Te 0.576 0.941 0.224
Te 0.794 0.794 0.790
Te 0.941 0.576 0.224
```

We find #two to be the most stable, with the next structure 66 meV/atom higher.